[1]
Density functional theory data (PBE) for crystalline TcGeOs3 at its relaxed geometry.

Output
- polymorph energy (0 for the lowest one) (eV per atom) = 0.000
- formation energy (eV/atom) = 1.8859
- size of the total moment (μB/cell) = 2.66

Cell lengths 4.4731, 4.4731, 4.4731 Å; angles 90.00, 90.00, 90.00 degrees
Closest atoms and distances in Å follow each position.
Sites, in units of the cell vectors:
Tc 0.0000 0.0000 0.0000  12 Os 3.16
Ge 0.5000 0.5000 0.5000  6 Os 2.24
Os 0.0000 0.5000 0.5000  2 Ge 2.24
Os 0.5000 0.0000 0.5000  2 Ge 2.24
Os 0.5000 0.5000 0.0000  2 Ge 2.24


[2]
Density functional theory data (PBE) for crystalline Tc2Ge6Os at its relaxed geometry.

Output
- polymorph energy (0 for the lowest one) (eV per atom) = 0.044
- formation energy (eV/atom) = 0.1340
- size of the total moment (μB/cell) = 0.91

Cell lengths 7.9593, 7.9593, 3.2112 Å; angles 101.47, 101.47, 48.72 degrees
Closest atoms and distances in Å follow each position.
Sites, in units of the cell vectors:
Tc 0.1632 0.1632 0.1634  8 Ge 2.55-2.74
Tc 0.8368 0.8368 0.8366  8 Ge 2.55-2.74
Ge 0.1355 0.5320 0.3337  3 Tc 2.55-2.74, 1 Ge 2.60, 1 Os 2.69
Ge 0.2014 0.7986 0.0000  2 Os 2.53, 1 Ge 2.64, 2 Tc 2.66
Ge 0.4680 0.8645 0.6663  3 Tc 2.55-2.74, 1 Ge 2.60, 1 Os 2.69
Ge 0.5320 0.1355 0.3337  3 Tc 2.55-2.74, 1 Ge 2.60, 1 Os 2.69
Ge 0.7986 0.2014 0.0000  2 Os 2.53, 1 Ge 2.64, 2 Tc 2.66
Ge 0.8645 0.4680 0.6663  3 Tc 2.55-2.74, 1 Ge 2.60, 1 Os 2.69
Os 0.5000 0.5000 0.5000  8 Ge 2.53-2.69


[3]
Density functional theory data (PBE) for crystalline TcGe4Os at its relaxed geometry.

Output
- formation energy (eV/atom) = 0.0439
- size of the total moment (μB/cell) = 0.00

Cell lengths 8.8000, 8.8375, 3.0870 Å; angles 90.00, 90.00, 90.00 degrees
Closest atoms and distances in Å follow each position.
Sites, in units of the cell vectors:
Tc 0.0000 0.0000 0.0000  6 Ge 2.48-2.49
Tc 0.5000 0.5000 0.0000  6 Ge 2.48-2.49
Ge 0.0000 0.2814 0.0000  2 Os 2.47, 1 Tc 2.49
Ge 0.0000 0.7186 0.0000  2 Os 2.47, 1 Tc 2.49
Ge 0.2208 0.0000 0.5000  1 Os 2.46, 2 Tc 2.48
Ge 0.2792 0.5000 0.5000  1 Os 2.46, 2 Tc 2.48
Ge 0.5000 0.2186 0.0000  2 Os 2.47, 1 Tc 2.49
Ge 0.5000 0.7814 0.0000  2 Os 2.47, 1 Tc 2.49
Ge 0.7208 0.5000 0.5000  1 Os 2.46, 2 Tc 2.48
Ge 0.7792 0.0000 0.5000  1 Os 2.46, 2 Tc 2.48
Os 0.0000 0.5000 0.5000  6 Ge 2.46-2.47
Os 0.5000 0.0000 0.5000  6 Ge 2.46-2.47


[4]
Density functional theory data (PBE) for crystalline TcGe2Os at its relaxed geometry.

Output
- formation energy (eV/atom) = 0.7248
- size of the total moment (μB/cell) = 6.68

Cell lengths 6.7665, 6.7665, 5.8609 Å; angles 90.00, 90.00, 90.00 degrees
Closest atoms and distances in Å follow each position.
Sites, in units of the cell vectors:
Tc 0.0000 0.0000 0.0000  4 Ge 2.55
Tc 0.0000 0.5000 0.2500  4 Ge 2.55
Tc 0.5000 0.0000 0.7500  4 Ge 2.55
Tc 0.5000 0.5000 0.5000  4 Ge 2.55
Ge 0.2387 0.2500 0.6250  2 Os 2.45, 2 Tc 2.55
Ge 0.2500 0.7387 0.8750  2 Os 2.45, 2 Tc 2.55
Ge 0.2500 0.7613 0.3750  2 Os 2.45, 2 Tc 2.55
Ge 0.2613 0.2500 0.1250  2 Os 2.45, 2 Tc 2.55
Ge 0.7387 0.7500 0.1250  2 Os 2.45, 2 Tc 2.55
Ge 0.7500 0.2387 0.3750  2 Os 2.45, 2 Tc 2.55
Ge 0.7500 0.2613 0.8750  2 Os 2.45, 2 Tc 2.55
Ge 0.7613 0.7500 0.6250  2 Os 2.45, 2 Tc 2.55
Os 0.0000 0.0000 0.5000  4 Ge 2.45
Os 0.0000 0.5000 0.7500  4 Ge 2.45
Os 0.5000 0.0000 0.2500  4 Ge 2.45
Os 0.5000 0.5000 0.0000  4 Ge 2.45


[5]
Density functional theory data (PBE) for crystalline Tc3Ge6Os at its relaxed geometry.

Output
- formation energy (eV/atom) = 0.1156
- size of the total moment (μB/cell) = 0.00

Cell lengths 6.2101, 6.5828, 10.1983 Å; angles 90.00, 127.33, 90.00 degrees
Closest atoms and distances in Å follow each position.
Sites, in units of the cell vectors:
Tc 0.0000 0.0000 0.0000  6 Ge 2.43-2.53
Tc 0.0000 0.5000 0.5000  6 Ge 2.43-2.53
Tc 0.3634 0.1467 0.7486  7 Ge 2.56-2.84
Tc 0.3634 0.3533 0.2486  7 Ge 2.56-2.84
Tc 0.6366 0.6467 0.7514  7 Ge 2.56-2.84
Tc 0.6366 0.8533 0.2514  7 Ge 2.56-2.84
Ge 0.0356 0.5271 0.7501  2 Tc 2.43-2.61, 1 Os 2.43, 1 Ge 2.71
Ge 0.0356 0.9729 0.2501  2 Tc 2.43-2.61, 1 Os 2.43, 1 Ge 2.71
Ge 0.1757 0.6520 0.0475  3 Tc 2.46-2.66, 1 Os 2.54, 2 Ge 2.67-2.73
Ge 0.1757 0.8480 0.5475  3 Tc 2.46-2.66, 1 Os 2.54, 2 Ge 2.67-2.73
Ge 0.4160 0.1510 0.0456  1 Os 2.46, 3 Tc 2.53-2.64, 2 Ge 2.66-2.71
Ge 0.4160 0.3490 0.5456  1 Os 2.46, 3 Tc 2.53-2.64, 2 Ge 2.66-2.71
Ge 0.5840 0.6510 0.4544  1 Os 2.46, 3 Tc 2.53-2.64, 2 Ge 2.66-2.71
Ge 0.5840 0.8490 0.9544  1 Os 2.46, 3 Tc 2.53-2.64, 2 Ge 2.66-2.71
Ge 0.8243 0.1520 0.4525  3 Tc 2.46-2.66, 1 Os 2.54, 2 Ge 2.67-2.73
Ge 0.8243 0.3480 0.9525  3 Tc 2.46-2.66, 1 Os 2.54, 2 Ge 2.67-2.73
Ge 0.9644 0.0271 0.7499  2 Tc 2.43-2.61, 1 Os 2.43, 1 Ge 2.71
Ge 0.9644 0.4729 0.2499  2 Tc 2.43-2.61, 1 Os 2.43, 1 Ge 2.71
Os 0.5000 0.0000 0.5000  6 Ge 2.43-2.54
Os 0.5000 0.5000 0.0000  6 Ge 2.43-2.54


[6]
Density functional theory data (PBE) for crystalline TcGe2Os at its relaxed geometry.

Output
- formation energy (eV/atom) = 0.0406
- size of the total moment (μB/cell) = 0.00

Cell lengths 4.3285, 4.3285, 3.0587 Å; angles 90.00, 90.00, 90.00 degrees
Closest atoms and distances in Å follow each position.
Sites, in units of the cell vectors:
Tc 0.0000 0.0000 0.0000  8 Ge 2.65
Ge 0.0000 0.5000 0.5000  4 Os 2.65, 4 Tc 2.65
Ge 0.5000 0.0000 0.5000  4 Os 2.65, 4 Tc 2.65
Os 0.5000 0.5000 0.0000  8 Ge 2.65


[7]
Density functional theory data (PBE) for crystalline TcGeOs3 at its relaxed geometry.

Output
- polymorph energy (0 for the lowest one) (eV per atom) = 0.294
- formation energy (eV/atom) = 2.1798
- size of the total moment (μB/cell) = 0.00

Cell lengths 4.6850, 4.6850, 4.6850 Å; angles 90.00, 90.00, 90.00 degrees
Closest atoms and distances in Å follow each position.
Sites, in units of the cell vectors:
Tc 0.0000 0.0000 0.0000  6 Os 2.34
Ge 0.5000 0.5000 0.5000  12 Os 3.31
Os 0.0000 0.0000 0.5000  2 Tc 2.34
Os 0.0000 0.5000 0.0000  2 Tc 2.34
Os 0.5000 0.0000 0.0000  2 Tc 2.34


[8]
Density functional theory data (PBE) for crystalline ThTcGe3Os at its relaxed geometry.

Output
- formation energy (eV/atom) = -0.0364
- size of the total moment (μB/cell) = 0.00

Cell lengths 6.7820, 6.7820, 5.8538 Å; angles 90.00, 90.00, 109.07 degrees
Closest atoms and distances in Å follow each position.
Sites, in units of the cell vectors:
Th 0.2420 0.7580 0.7500  2 Ge 2.93, 1 Os 3.04
Th 0.7580 0.2420 0.2500  2 Ge 2.93, 1 Os 3.04
Tc 0.4556 0.5444 0.2500  5 Ge 2.31-2.49
Tc 0.5444 0.4556 0.7500  5 Ge 2.31-2.49
Ge 0.2462 0.7538 0.2500  1 Tc 2.31, 1 Os 2.35
Ge 0.2524 0.2524 0.0000  2 Tc 2.49, 2 Os 2.49
Ge 0.2524 0.2524 0.5000  2 Tc 2.49, 2 Os 2.49
Ge 0.7476 0.7476 0.0000  2 Tc 2.49, 2 Os 2.49
Ge 0.7476 0.7476 0.5000  2 Tc 2.49, 2 Os 2.49
Ge 0.7538 0.2462 0.7500  1 Tc 2.31, 1 Os 2.35
Os 0.0335 0.9665 0.2500  5 Ge 2.35-2.49
Os 0.9665 0.0335 0.7500  5 Ge 2.35-2.49


Mass density / g/cm3: 13.75, 9.15, 8.01, 10.73, 9.22, 12.56, 11.97, 9.63